(1)
Density functional theory data (GGA-PBE) for a geometry-optimized As2PbCl structure.

a = 12.3741 Å, b = 3.5892 Å, c = 4.9530 Å
α = 90.00°, β = 99.09°, γ = 90.00°
With the nearest neighbours (Å) after each atom.
Sites, in units of the cell vectors:
As: 0.2285 0.0000 0.1507  2 As 2.45
As: 0.2715 0.5000 0.8493  2 As 2.45
As: 0.7285 0.5000 0.1507  2 As 2.45
As: 0.7715 0.0000 0.8493  2 As 2.45
Pb: 0.0000 0.5000 0.0000  4 Cl 3.06, 4 As 3.33
Pb: 0.5000 0.0000 0.0000  4 Cl 3.06, 4 As 3.33
Cl: 0.0000 0.0000 0.5000  4 Pb 3.06
Cl: 0.5000 0.5000 0.5000  4 Pb 3.06

## Properties
Energy relative to the elements, uncorrected ... -0.232 eV per atom
Total moment ... 0.00 μB/f.u.
Space-group type ... C2/m (12)

=====

(2)
Density functional theory data (GGA-PBE) for a geometry-optimized CrRuAu2 structure.

a = 2.9690 Å, b = 3.9876 Å, c = 5.4750 Å
α = 90.00°, β = 90.00°, γ = 90.00°
With the nearest neighbours (Å) after each atom.
Sites, in units of the cell vectors:
Cr: 0.0000 0.0000 0.0000  2 Ru 2.74, 8 Au 2.83, 2 Cr 2.97
Ru: 0.0000 0.0000 0.5000  2 Cr 2.74, 8 Au 2.84, 2 Ru 2.97
Au: 0.5000 0.5000 0.2488  4 Au 2.72-2.97, 4 Cr 2.83, 4 Ru 2.84
Au: 0.5000 0.5000 0.7512  4 Au 2.72-2.97, 4 Cr 2.83, 4 Ru 2.84

## Properties
ΔE to the lowest computed polymorph ... 193.8 meV/atom
Total moment ... 1.72 μB/f.u.
Space-group type ... Pmmm (47)

=====

(3)
Density functional theory data (GGA-PBE) for a geometry-optimized SrReNi2 structure.

a = 3.0205 Å, b = 3.0205 Å, c = 7.3755 Å
α = 90.00°, β = 90.00°, γ = 90.00°
With the nearest neighbours (Å) after each atom.
Sites, in units of the cell vectors:
Sr: 0.0000 0.0000 0.0000  4 Sr 3.02, 4 Ni 3.12, 4 Re 3.31
Re: 0.5000 0.5000 0.6576  5 Ni 2.52-2.57
Ni: 0.0000 0.0000 0.4774  4 Ni 2.47, 4 Re 2.52
Ni: 0.5000 0.5000 0.3092  4 Ni 2.47, 1 Re 2.57

## Properties
ΔE to the lowest computed polymorph ... 378.6 meV/atom
Total moment ... 0.00 μB/f.u.
Space-group type ... P4mm (99)

=====

(4)
Density functional theory data (GGA-PBE) for a geometry-optimized YScCuPd structure.

a = 4.4387 Å, b = 3.5767 Å, c = 10.3035 Å
α = 90.00°, β = 90.00°, γ = 90.00°
With the nearest neighbours (Å) after each atom.
Sites, in units of the cell vectors:
Y: 0.0000 0.0000 0.0000  3 Pd 2.84-2.92, 4 Cu 2.93
Y: 0.0000 0.5000 0.5000  3 Pd 2.84-2.92, 4 Cu 2.93
Sc: 0.5000 0.0000 0.7201  3 Cu 2.84-2.95, 4 Pd 2.91
Sc: 0.5000 0.5000 0.2201  3 Cu 2.84-2.95, 4 Pd 2.91
Cu: 0.5000 0.0000 0.4338  2 Pd 2.75, 3 Sc 2.84-2.95, 4 Y 2.93
Cu: 0.5000 0.5000 0.9338  2 Pd 2.75, 3 Sc 2.84-2.95, 4 Y 2.93
Pd: 0.0000 0.0000 0.2760  2 Cu 2.75, 3 Y 2.84-2.92, 4 Sc 2.91
Pd: 0.0000 0.5000 0.7760  2 Cu 2.75, 3 Y 2.84-2.92, 4 Sc 2.91

## Properties
DFT total energy ... -48.61 eV per cell
Total moment ... 0.00 μB/f.u.
Space-group type ... Amm2 (38)

=====

- Which of these has the highest total moment?
  CrRuAu2